DFT (PBE) results for a geometry-optimized YCd2Cu2 structure.

Cell and atoms, written as POSCAR:
```
YCd2Cu2
1.0
7.822 0.000 0.000
0.000 7.822 0.000
0.000 0.000 3.135
Y Cd Cu
2 4 4
Cartesian
0.000 0.000 0.000 Y
3.911 3.911 0.000 Y
1.350 2.562 1.567 Cd
2.562 6.473 1.567 Cd
5.261 1.350 1.567 Cd
6.473 5.261 1.567 Cd
0.935 4.846 0.000 Cu
2.976 0.935 0.000 Cu
4.846 6.887 0.000 Cu
6.887 2.976 0.000 Cu
```

Summary:
Fermi-level density of states ... 7.2 states/eV/cell
Calculated formation energy ... -32 meV per atom
E above lowest polymorph ... 0.121 eV per atom
Space group ... P4/mbm (127)
Size of the total moment ... 0.0 μB per formula unit
Crystal system ... tetragonal